Density functional theory data (GGA+U) for RbMn2NiF8 after structural relaxation.

abc: 5.175 5.211 7.203
angles: 80.27 80.62 80.33
Space group P-1 (No. 2)
Asymmetric unit:
Rb1 0.000 0.000 0.000
Mn1 0.460 0.460 0.241
Ni1 0.000 0.000 0.500
F1 0.206 0.763 0.698
F2 0.234 0.788 0.305
F3 0.261 0.256 0.448
F4 0.350 0.344 0.994

Output
spin magnetization: 11.00 μB/cell
final energy: -5.2147 eV/atom